Entry from the Alexandria database: crystalline Co2AgBiO at its relaxed geometry (GGA+U).

Unit cell a=5.149 b=5.149 c=5.453 alpha=90.00 beta=90.00 gamma=90.00
Space group P4/mmm (No. 123)
One atom of each set of equivalent atoms:
Co 0.000 0.500 0.000 x2
Ag 0.000 0.000 0.500 x1
Bi 0.000 0.000 0.000 x1
O 0.500 0.500 0.500 x1

Results
The value obtained for the total energy is -2.993 eV/atom. The calculation puts the density of states at the Fermi level at 0.7648 states/eV per atom. The value obtained for the total magnetization is 1.2000 μB per atom.